# 1
Computed, not measured: a relaxed BaReO3 crystal at the PBE level of DFT.

Cell and atoms, written as POSCAR:
```
BaReO3
1.0
3.3040 1.9076 4.8898
-3.3040 1.9076 4.8898
0.0000 -3.8151 4.8898
Ba Re O
2 2 6
direct
0.0000 0.0000 0.0000
0.5000 0.5000 0.5000
0.2500 0.2500 0.2500
0.7500 0.7500 0.7500
0.0221 0.7500 0.4779
0.2500 0.5221 0.9779
0.4779 0.0221 0.7500
0.5221 0.9779 0.2500
0.7500 0.4779 0.0221
0.9779 0.2500 0.5221
```

Results
**Symmetry**: No. 167
**VASP energy**: -7.6222 eV/atom
**Calculated volume**: 92 Å³/f.u.

# 2
Computed, not measured: a relaxed Sm2GdCu4Sn2Ge2 crystal at the PBE level of DFT.

Cell and atoms, written as POSCAR:
```
Sm2GdCu4Sn2Ge2
1.0
-2.1794 3.4753 7.2703
2.1794 -3.4753 7.2703
2.1794 3.4753 -7.2703
Sm Gd Cu Sn Ge
2 1 4 2 2
direct
0.1368 0.1368 0.0000
0.8632 0.8632 0.0000
0.5000 0.0000 0.5000
0.1419 0.3262 0.8157
0.4896 0.6738 0.8157
0.5104 0.3262 0.1843
0.8581 0.6738 0.1843
0.2018 0.5000 0.7018
0.7982 0.5000 0.2982
0.2841 0.7841 0.5000
0.7159 0.2159 0.5000
```

Results
**Symmetry**: No. 71
**VASP energy**: -4.7295 eV/atom
**Calculated volume**: 220 Å³/f.u.

# 3
Computed, not measured: a relaxed LaNdSc crystal at the PBE level of DFT.

Cell and atoms, written as POSCAR:
```
LaNdSc
1.0
7.6053 0.0000 0.0000
0.0000 7.6053 0.0000
0.0000 0.0000 7.6053
La Nd Sc
4 4 4
direct
0.0000 0.0000 0.0000
0.0000 0.5000 0.5000
0.5000 0.0000 0.5000
0.5000 0.5000 0.0000
0.0000 0.0000 0.5000
0.0000 0.5000 0.0000
0.5000 0.0000 0.0000
0.5000 0.5000 0.5000
0.2500 0.2500 0.2500
0.2500 0.7500 0.7500
0.7500 0.2500 0.7500
0.7500 0.7500 0.2500
```

Results
**Symmetry**: No. 216
**Calculated volume**: 110 Å³/f.u.
**Formation energy**: 0.6251 eV/atom
**E above lowest polymorph**: 0.0000 eV per atom

- Which formula does entry 2 have?
  Sm2GdCu4Sn2Ge2